[1]
# LiZrMn2 (PBE-GGA, relaxed)
data_LiZrMn2
_chemical_formula_sum 'Li3 Zr3 Mn6'
_symmetry_space_group_name_H-M 'R -3 m'
_symmetry_Int_Tables_number 166
_symmetry_space_group_name_Hall '-R 3 2"'
_cell_length_a 2.9179
_cell_length_b 2.9179
_cell_length_c 28.5744
_cell_angle_alpha 90.00
_cell_angle_beta 90.00
_cell_angle_gamma 120.00
loop_
_atom_site_label
_atom_site_fract_x
_atom_site_fract_y
_atom_site_fract_z
_atom_site_occupancy
Li1 0.0000 0.0000 0.0000 1
Zr1 0.0000 0.0000 0.5000 1
Mn1 0.0000 0.0000 0.2511 1
# E_form in eV/atom: 0.42
# Calculated density in g/cm³: 4.92

=====

[2]
# SmDyHg3 (PBE-GGA, relaxed)
data_SmDyHg3
_chemical_formula_sum 'Sm4 Dy4 Hg12'
_symmetry_space_group_name_H-M 'I -4 m 2'
_symmetry_Int_Tables_number 119
_symmetry_space_group_name_Hall 'I -4 -2'
_cell_length_a 5.718
_cell_length_b 5.718
_cell_length_c 21.961
_cell_angle_alpha 90.00
_cell_angle_beta 90.00
_cell_angle_gamma 90.00
loop_
_atom_site_label
_atom_site_fract_x
_atom_site_fract_y
_atom_site_fract_z
_atom_site_occupancy
Sm1 0.000 0.000 0.000 1
Sm2 0.000 0.500 0.250 1
Dy1 0.000 0.000 0.413 1
Hg1 0.000 0.246 0.128 1
Hg2 0.000 0.500 0.541 1
# E_form in eV/atom: 0.06
# Calculated density in g/cm³: 8.46
# Distance to the lowest polymorph of the same formula in eV per atom: 0.470

=====

[3]
# Eu3S (PBE-GGA, relaxed)
data_Eu3S
_chemical_formula_sum 'Eu6 S2'
_symmetry_space_group_name_H-M 'P 63/m m c'
_symmetry_Int_Tables_number 194
_symmetry_space_group_name_Hall '-P 6c 2c'
_cell_length_a 10.1555
_cell_length_b 10.1555
_cell_length_c 3.7804
_cell_angle_alpha 90.00
_cell_angle_beta 90.00
_cell_angle_gamma 120.00
loop_
_atom_site_label
_atom_site_fract_x
_atom_site_fract_y
_atom_site_fract_z
_atom_site_occupancy
Eu1 0.2058 0.4116 0.2500 1
S1 0.3333 0.6667 0.7500 1
# Calculated density in g/cm³: 4.80
# Raw formation energy in kcal/mol of atoms: -15.70

=====

[4]
# ZnFe3 (PBE-GGA, relaxed)
data_ZnFe3
_chemical_formula_sum 'Zn1 Fe3'
_symmetry_space_group_name_H-M 'P 4/m m m'
_symmetry_Int_Tables_number 123
_symmetry_space_group_name_Hall '-P 4 2'
_cell_length_a 2.937
_cell_length_b 2.937
_cell_length_c 5.683
_cell_angle_alpha 90.00
_cell_angle_beta 90.00
_cell_angle_gamma 90.00
loop_
_atom_site_label
_atom_site_fract_x
_atom_site_fract_y
_atom_site_fract_z
_atom_site_occupancy
Zn1 0.000 0.000 0.000 1
Fe1 0.000 0.000 0.500 1
Fe2 0.500 0.500 0.264 1
# E_form in eV/atom: 0.04
# Calculated density in g/cm³: 7.89